Entry from the Open Quantum Materials Database: a relaxed DyPuPb crystal (GGA-PBE).

Computed properties:
calculated density: 9.89 g/cm³
total magnetization: 2.33 μB per atom
electronic total energy: -89.74 eV for the cell shown
crystal system: cubic
energy above the most stable polymorph in this dataset: 0 meV per atom

a b c (Å): 7.4429 7.4429 7.4429
angles (deg): 90.00 90.00 90.00
Closest atoms and distances in Å follow each position.
Space group F-43m (No. 216)
Unique sites:
Dy (0.0000, 0.0000, 0.0000)  4 Pb 3.22
Pu (0.0000, 0.0000, 0.5000)  4 Pb 3.22
Pb (0.2500, 0.2500, 0.2500)  4 Dy 3.22, 4 Pu 3.22